# 1
First-principles (PBE) data for an optimized crystal structure of Al3CuAu6, as listed in Alexandria via LeMat-Bulk.

Properties
Symmetry: P2_1/m, No. 11

a b c (Å): 4.279 10.262 9.100
angles (deg): 116.58 90.00 90.00
Sites, in units of the cell vectors:
Al (0.750, 0.321, 0.794)
Al (0.250, 0.679, 0.206)
Al (0.750, 0.633, 0.460)
Al (0.250, 0.367, 0.540)
Al (0.750, 0.208, 0.053)
Al (0.250, 0.792, 0.947)
Cu (0.750, 0.037, 0.697)
Cu (0.250, 0.963, 0.303)
Au (0.750, 0.514, 0.671)
Au (0.250, 0.486, 0.329)
Au (0.750, 0.953, 0.108)
Au (0.250, 0.047, 0.892)
Au (0.750, 0.480, 0.107)
Au (0.250, 0.520, 0.893)
Au (0.750, 0.832, 0.344)
Au (0.250, 0.168, 0.656)
Au (0.750, 0.171, 0.448)
Au (0.250, 0.829, 0.552)
Au (0.750, 0.812, 0.769)
Au (0.250, 0.188, 0.231)

***

# 2
First-principles (PBE) data for an optimized crystal structure of AlCu5Au, as listed in Alexandria via LeMat-Bulk.

Properties
Symmetry: Cmmm, No. 65
Excess energy over the best structure of this formula in the dataset: 0.079 eV per formula unit

a b c (Å): 4.511 4.511 5.332
angles (deg): 90.01 90.01 111.11
Sites, in units of the cell vectors:
Al (0.500, 0.500, 0.500)
Cu (0.500, 0.000, 0.256)
Cu (0.000, 0.500, 0.256)
Cu (0.000, 0.000, 0.500)
Cu (0.000, 0.500, 0.744)
Cu (0.500, 0.000, 0.744)
Au (0.000, 0.000, 0.000)

***

# 3
First-principles (PBE) data for an optimized crystal structure of AlCuAu6, as listed in Alexandria via LeMat-Bulk.

Properties
Symmetry: P-1, No. 2
Excess energy over the best structure of this formula in the dataset: 0.457 eV per formula unit

a b c (Å): 6.522 6.582 5.405
angles (deg): 52.45 53.02 59.85
Sites, in units of the cell vectors:
Al (0.500, 0.500, 0.500)
Cu (0.000, 0.000, 0.000)
Au (0.020, 0.488, 0.745)
Au (0.748, 0.016, 0.745)
Au (0.512, 0.253, 0.257)
Au (0.252, 0.984, 0.255)
Au (0.980, 0.512, 0.255)
Au (0.488, 0.747, 0.743)

***

Asked for volume across the records above, the calculation gives 17.869; 14.461; 17.943 A^3/atom in order.
Asked for size of the total moment across the records above, the calculation gives 0.0; 0.0; 0.0 Bohr magnetons per cell in order.
Asked for formation energy from the elements across the records above, the calculation gives -0.237; 0.002; -0.059 eV per atom in order.